# SrY2SnC

A geometry-optimized SrY2SnC structure (PBE, Alexandria via LeMat-Bulk).

- energy relative to the elements (kJ/mol of formula units) = -205
- crystal system = tetragonal
- electronic total energy (eV per atom) = -5.993
- space group = P4/mmm

a b c (Å): 4.9556 4.9556 5.2400
angles (deg): 90.00 90.00 90.00
Atoms (fractional coordinates):
Sr  0.0000  0.0000  0.0000
Y  0.0000  0.5000  0.5000
Y  0.5000  0.0000  0.5000
Sn  0.5000  0.5000  0.0000
C  0.0000  0.0000  0.5000